Entry 1:
Entry from the Alexandria database: an optimized crystal structure of CdHPd (PBE).

```
CdHPd
1.0
-1.415 1.415 5.052
1.415 -1.415 5.052
1.415 1.415 -5.052
Cd H Pd
1 1 1
Cartesian
0.000 0.000 0.000 Cd
0.000 0.000 2.479 H
0.000 0.000 7.311 Pd
```

## Properties
Uncorrected energy ... -3.209 eV/atom

---

Entry 2:
Entry from the Alexandria database: an optimized crystal structure of BaZnI2O (PBE).

```
BaZnI2O
1.0
6.912 0.000 0.000
0.000 6.912 0.000
0.000 0.000 4.540
Ba Zn I O
1 1 2 1
Cartesian
0.000 0.000 0.000 Ba
3.456 3.456 2.270 Zn
0.000 3.456 0.000 I
3.456 0.000 0.000 I
0.000 0.000 2.270 O
```

## Properties
Raw formation energy ... -0.499 eV/atom

---

Entry 3:
Entry from the Alexandria database: an optimized crystal structure of LiTlHgPb (PBE).

```
LiTlHgPb
1.0
0.000 3.731 3.731
3.731 0.000 3.731
3.731 3.731 0.000
Li Tl Hg Pb
1 1 1 1
Cartesian
0.000 0.000 0.000 Li
5.596 5.596 5.596 Tl
3.731 3.731 3.731 Hg
1.865 1.865 1.865 Pb
```

## Properties
Energy relative to the elements ... -72 meV per atom